[1]
Li2TbPuTe4 (PBE-GGA, relaxed); calculated density = 6.58 g/cm³; E = -44.51 eV per cell; space-group type = P2/m, No. 10; size of the total moment = 5.000 μB/cell
1.0
4.3861 0.0000 0.0000
0.0000 7.5909 0.1202
0.0000 -2.6572 6.9882
Li Tb Pu Te
2 1 1 4
Direct
0.5000 0.0000 0.5000
0.0000 0.5000 0.5000
0.0000 0.0000 0.0000
0.5000 0.5000 0.0000
0.5000 0.2496 0.2575
0.5000 0.7504 0.7425
0.0000 0.2457 0.7432
0.0000 0.7543 0.2568

***

[2]
Li3Tb2PuTe6 (PBE-GGA, relaxed); calculated density = 6.39 g/cm³; E = -62.45 eV per cell; space-group type = C2/m, No. 12; size of the total moment = 5.000 μB/cell
1.0
7.5823 0.0005 0.0011
-3.7889 6.5678 0.0011
-1.2645 -2.1895 7.0378
Li Tb Pu Te
3 2 1 6
Direct
0.1667 0.8333 0.5000
0.8333 0.1667 0.5000
0.5000 0.5000 0.5000
0.3334 0.6666 0.0000
0.6666 0.3334 0.0000
0.0000 0.0000 0.0000
0.9144 0.5778 0.7428
0.7493 0.7493 0.2573
0.0856 0.4222 0.2572
0.5778 0.9144 0.7428
0.2507 0.2507 0.7427
0.4222 0.0856 0.2572

***

[3]
LiTbPuTe3 (PBE-GGA, relaxed); calculated density = 7.36 g/cm³; E = -74.52 eV per cell; space-group type = P2_1/m, No. 11; size of the total moment = 11.753 μB/cell
1.0
4.3068 0.0000 0.0000
0.0000 8.9566 0.0942
0.0000 -2.2681 9.2512
Li Tb Pu Te
2 2 2 6
Direct
0.2500 0.0848 0.5830
0.7500 0.9152 0.4170
0.2500 0.6695 0.1636
0.7500 0.3305 0.8364
0.2500 0.1817 0.2295
0.7500 0.8183 0.7705
0.7500 0.9067 0.1281
0.2500 0.0933 0.8719
0.2500 0.7672 0.4996
0.7500 0.2328 0.5004
0.7500 0.4271 0.1724
0.2500 0.5729 0.8276

***

[4]
LiTb2PuTl4 (PBE-GGA, relaxed); calculated density = 10.78 g/cm³; E = -36.71 eV per cell; space-group type = R-3m, No. 166; size of the total moment = 6.416 μB/cell
1.0
5.2834 0.0000 0.0000
2.6417 4.5755 0.0000
2.6417 1.5252 8.8330
Li Tb Pu Tl
1 2 1 4
Direct
0.5000 0.5000 0.5000
0.7522 0.7522 0.7433
0.2478 0.2478 0.2567
0.0000 0.0000 0.0000
0.3782 0.3782 0.8653
0.8722 0.8722 0.3834
0.1278 0.1278 0.6166
0.6218 0.6218 0.1347

***

[5]
LiTbPuZn (PBE-GGA, relaxed); calculated density = 8.38 g/cm³; E = -21.87 eV per cell; space-group type = F-43m, No. 216; size of the total moment = 6.592 μB/cell
1.0
-1.3025 1.1841 -4.7933
-0.5568 -3.6941 -3.4811
-4.6501 -1.1811 -1.7480
Zn Li Tb Pu
1 1 1 1
Direct
0.2500 0.2500 0.2500
0.7500 0.7500 0.7500
0.0000 0.0000 0.0000
0.5000 0.5000 0.5000

***

[6]
LiPuTc (PBE-GGA, relaxed); calculated density = 10.46 g/cm³; E = -51.43 eV per cell; space-group type = C2/m, No. 12; size of the total moment = 10.045 μB/cell
1.0
-3.5367 3.4740 0.3219
-0.6861 -4.0575 -2.0846
-0.9792 -1.5148 5.5886
Pu Li Tc
2 2 2
Direct
0.0335 0.0669 0.7623
0.9665 0.9331 0.2377
0.3478 0.6957 0.5439
0.6522 0.3043 0.4561
0.6670 0.3339 0.9642
0.3330 0.6661 0.0358